(a)
A geometry-optimized CdNi2Au2 structure, computed with GGA-PBE.

Values from the calculation:
As for the space-group type: P4/mbm (127).

abc: 7.112 7.112 3.174
angles: 90.00 90.00 90.00
Sites, in units of the cell vectors:
Ni  0.374  0.874  0.000
Ni  0.626  0.126  0.000
Ni  0.126  0.374  0.000
Ni  0.874  0.626  0.000
Au  0.832  0.332  0.500
Au  0.168  0.668  0.500
Au  0.332  0.168  0.500
Au  0.668  0.832  0.500
Cd  0.500  0.500  0.000
Cd  0.000  0.000  0.000

---

(b)
A geometry-optimized CdNi2Au2 structure, computed with GGA-PBE.

Values from the calculation:
As for the space-group type: P4/mbm (127).

abc: 7.410 7.410 2.967
angles: 90.00 90.00 90.00
Sites, in units of the cell vectors:
Cd  0.000  0.000  0.000
Cd  0.500  0.500  0.000
Au  0.360  0.860  0.000
Au  0.140  0.360  0.000
Au  0.640  0.140  0.000
Au  0.860  0.640  0.000
Ni  0.156  0.656  0.500
Ni  0.656  0.844  0.500
Ni  0.344  0.156  0.500
Ni  0.844  0.344  0.500

---

(c)
A geometry-optimized CdNi2Au2 structure, computed with GGA-PBE.

Values from the calculation:
As for the space-group type: I4/mmm (139).

abc: 3.870 3.870 6.412
angles: 72.43 72.43 90.00
Sites, in units of the cell vectors:
Ni  0.403  0.403  0.194
Ni  0.597  0.597  0.806
Au  0.250  0.750  0.500
Au  0.750  0.250  0.500
Cd  0.000  0.000  0.000

---

(d)
A geometry-optimized CdNi2Au2 structure, computed with GGA-PBE.

Values from the calculation:
As for the space-group type: I4/mmm (139).

abc: 3.482 3.482 7.353
angles: 76.30 76.30 90.00
Sites, in units of the cell vectors:
Au  0.608  0.608  0.784
Au  0.392  0.392  0.216
Cd  0.000  0.000  0.000
Ni  0.250  0.750  0.500
Ni  0.750  0.250  0.500

---

Which structure is the least stable? The one labeled (c).

---

(a)
A geometry-optimized Cd2NiAu2 structure, computed with GGA-PBE.

Values from the calculation:
As for the space-group type: P4/mbm (127).

abc: 7.028 7.028 3.897
angles: 90.00 90.00 90.00
Sites, in units of the cell vectors:
Ni  0.000  0.000  0.000
Ni  0.500  0.500  0.000
Au  0.846  0.346  0.500
Au  0.154  0.654  0.500
Au  0.654  0.846  0.500
Au  0.346  0.154  0.500
Cd  0.650  0.150  0.000
Cd  0.150  0.350  0.000
Cd  0.850  0.650  0.000
Cd  0.350  0.850  0.000

---

(b)
A geometry-optimized Cd2NiAu2 structure, computed with GGA-PBE.

Values from the calculation:
As for the space-group type: P4/mbm (127).

abc: 6.772 6.772 4.199
angles: 90.00 90.00 90.00
Sites, in units of the cell vectors:
Au  0.145  0.355  0.000
Au  0.355  0.855  0.000
Au  0.855  0.645  0.000
Au  0.645  0.145  0.000
Cd  0.665  0.835  0.500
Cd  0.335  0.165  0.500
Cd  0.835  0.335  0.500
Cd  0.165  0.665  0.500
Ni  0.500  0.500  0.000
Ni  0.000  0.000  0.000

---

Which structure is the least stable? The one labeled (a).

---

(a)
A geometry-optimized CdAu3O structure, computed with GGA-PBE.

Values from the calculation:
As for the space-group type: Pm-3m (221).

abc: 5.171 5.171 5.171
angles: 90.00 90.00 90.00
Sites, in units of the cell vectors:
Au  0.000  0.500  0.000
Au  0.000  0.000  0.500
Au  0.500  0.000  0.000
O  0.500  0.500  0.500
Cd  0.000  0.000  0.000

---

(b)
A geometry-optimized CdAu3O structure, computed with GGA-PBE.

Values from the calculation:
As for the space-group type: Pm-3m (221).

abc: 4.559 4.559 4.559
angles: 90.00 90.00 90.00
Sites, in units of the cell vectors:
Au  0.000  0.500  0.000
Au  0.000  0.000  0.500
Au  0.500  0.000  0.000
O  0.000  0.000  0.000
Cd  0.500  0.500  0.500

---

Which structure is the least stable? The one labeled (a).

---

(a)
A geometry-optimized CdAu2O structure, computed with GGA-PBE.

Values from the calculation:
As for the space-group type: I-42d (122).

abc: 5.196 5.196 7.513
angles: 69.77 69.77 90.00
Sites, in units of the cell vectors:
Cd  0.000  0.000  0.000
Cd  0.750  0.250  0.500
Au  0.375  0.504  0.750
Au  0.496  0.125  0.250
Au  0.875  0.746  0.750
Au  0.254  0.625  0.250
O  0.250  0.750  0.500
O  0.500  0.500  0.000

---

(b)
A geometry-optimized CdAu2O structure, computed with GGA-PBE.

Values from the calculation:
As for the space-group type: Fm-3m (225).

abc: 4.528 4.528 4.528
angles: 60.00 60.00 60.00
Sites, in units of the cell vectors:
Au  0.250  0.250  0.250
Au  0.750  0.750  0.750
Cd  0.500  0.500  0.500
O  0.000  0.000  0.000

---

Which structure is the least stable? The one labeled (b).

---

(a)
A geometry-optimized CdP2AuO structure, computed with GGA-PBE.

Values from the calculation:
As for the space-group type: P4/mmm (123).

abc: 5.051 5.051 3.965
angles: 90.00 90.00 90.00
Sites, in units of the cell vectors:
O  0.000  0.000  0.500
P  0.000  0.500  0.000
P  0.500  0.000  0.000
Au  0.500  0.500  0.500
Cd  0.000  0.000  0.000

---

(b)
A geometry-optimized CdP2AuO structure, computed with GGA-PBE.

Values from the calculation:
As for the space-group type: P4/mmm (123).

abc: 4.976 4.976 3.956
angles: 90.00 90.00 90.00
Sites, in units of the cell vectors:
Cd  0.500  0.500  0.500
Au  0.000  0.000  0.000
P  0.500  0.000  0.000
P  0.000  0.500  0.000
O  0.000  0.000  0.500

---

Which structure is the least stable? The one labeled (a).

---

(a)
A geometry-optimized Rb2CdAuO structure, computed with GGA-PBE.

Values from the calculation:
As for the space-group type: P2_1/m (11).

abc: 4.885 7.426 8.599
angles: 104.64 90.00 90.00
Sites, in units of the cell vectors:
Au  0.750  0.382  0.658
Au  0.250  0.618  0.342
Rb  0.750  0.790  0.029
Rb  0.250  0.104  0.356
Rb  0.250  0.210  0.971
Rb  0.750  0.896  0.644
Cd  0.250  0.556  0.690
Cd  0.750  0.444  0.310
O  0.250  0.842  0.814
O  0.750  0.158  0.186

---

(b)
A geometry-optimized Rb2CdAuO structure, computed with GGA-PBE.

Values from the calculation:
As for the space-group type: P4/mmm (123).

abc: 5.949 5.949 4.435
angles: 90.00 90.00 90.00
Sites, in units of the cell vectors:
O  0.000  0.000  0.000
Au  0.500  0.500  0.500
Rb  0.000  0.500  0.000
Rb  0.500  0.000  0.000
Cd  0.000  0.000  0.500

---

Which structure is the least stable? The one labeled (b).

---

(a)
A geometry-optimized Cd2OsAu structure, computed with GGA-PBE.

Values from the calculation:
As for the space-group type: I-42d (122).

abc: 4.035 4.035 10.143
angles: 78.53 78.53 90.00
Sites, in units of the cell vectors:
Os  0.250  0.750  0.500
Os  0.500  0.500  0.000
Cd  0.133  0.625  0.250
Cd  0.875  0.867  0.750
Cd  0.617  0.125  0.250
Cd  0.375  0.383  0.750
Au  0.750  0.250  0.500
Au  0.000  0.000  0.000

---

(b)
A geometry-optimized Cd2OsAu structure, computed with GGA-PBE.

Values from the calculation:
As for the space-group type: F-43m (216).

abc: 4.673 4.673 4.673
angles: 60.00 60.00 60.00
Sites, in units of the cell vectors:
Cd  0.250  0.250  0.250
Cd  0.000  0.000  0.000
Os  0.750  0.750  0.750
Au  0.500  0.500  0.500

---

(c)
A geometry-optimized Cd2OsAu structure, computed with GGA-PBE.

Values from the calculation:
As for the space-group type: R-3m (166).

abc: 9.714 9.714 9.714
angles: 17.38 17.38 17.38
Sites, in units of the cell vectors:
Os  0.250  0.250  0.250
Au  0.750  0.750  0.750
Cd  0.502  0.502  0.502
Cd  0.998  0.998  0.998

---

Which structure is the least stable? The one labeled (a).

---

(a)
A geometry-optimized CdPAu2 structure, computed with GGA-PBE.

Values from the calculation:
As for the space-group type: Cmmm (65).

abc: 5.118 5.118 3.007
angles: 90.00 90.00 111.26
Sites, in units of the cell vectors:
Au  0.000  0.000  0.000
Au  0.500  0.500  0.000
Cd  0.500  0.000  0.500
P  0.000  0.500  0.500

---

(b)
A geometry-optimized CdPAu2 structure, computed with GGA-PBE.

Values from the calculation:
As for the space-group type: Fm-3m (225).

abc: 4.719 4.719 4.719
angles: 60.00 60.00 60.00
Sites, in units of the cell vectors:
Au  0.250  0.250  0.250
Au  0.750  0.750  0.750
P  0.000  0.000  0.000
Cd  0.500  0.500  0.500

---

Which structure is the least stable? The one labeled (b).